Record 1
! Cs2LaOs2 (meta-GGA SCAN, PBEsol geometry); values from VASP
&SYSTEM
  ibrav = 0, nat = 5, ntyp = 3
/
ATOMIC_SPECIES
Cs 132.91 Cs.upf
La 138.91 La.upf
Os 190.23 Os.upf
CELL_PARAMETERS angstrom
4.484 0.000 0.000
0.000 4.484 0.000
-2.242 -2.242 7.500
ATOMIC_POSITIONS angstrom
Cs 2.242 0.000 3.750
La 0.000 0.000 0.000
Os 2.242 2.242 1.116
Os 0.000 0.000 6.384
Cs 0.000 2.242 3.750
! SG: I4/mmm

---

Record 2
! CsLa2ReP (meta-GGA SCAN, PBEsol geometry); values from VASP
&SYSTEM
  ibrav = 0, nat = 5, ntyp = 4
/
ATOMIC_SPECIES
La 138.91 La.upf
P 30.97 P.upf
Cs 132.91 Cs.upf
Re 186.21 Re.upf
CELL_PARAMETERS angstrom
5.394 0.000 0.000
0.000 5.394 0.000
0.000 0.000 5.418
ATOMIC_POSITIONS angstrom
La 0.000 2.697 0.000
P 2.697 2.697 2.709
Cs 0.000 0.000 2.709
Re 0.000 0.000 0.000
La 2.697 0.000 0.000
! SG: P4/mmm

---

Record 3
! CsLa2ZnP (meta-GGA SCAN, PBEsol geometry); values from VASP
&SYSTEM
  ibrav = 0, nat = 5, ntyp = 4
/
ATOMIC_SPECIES
P 30.97 P.upf
La 138.91 La.upf
Zn 65.41 Zn.upf
Cs 132.91 Cs.upf
CELL_PARAMETERS angstrom
4.680 0.000 0.000
0.000 5.695 0.000
0.000 0.000 5.695
ATOMIC_POSITIONS angstrom
P 2.340 0.000 0.000
La 0.000 0.000 2.847
Zn 0.000 0.000 0.000
La 0.000 2.847 0.000
Cs 2.340 2.847 2.847
! SG: P4/mmm

---

Record 4
! CsLa2TcPb (meta-GGA SCAN, PBEsol geometry); values from VASP
&SYSTEM
  ibrav = 0, nat = 5, ntyp = 4
/
ATOMIC_SPECIES
La 138.91 La.upf
Tc 98.00 Tc.upf
Pb 207.20 Pb.upf
Cs 132.91 Cs.upf
CELL_PARAMETERS angstrom
5.394 0.000 0.000
0.000 5.394 0.000
0.000 0.000 5.493
ATOMIC_POSITIONS angstrom
La 0.000 2.697 0.000
Tc 0.000 0.000 0.000
La 2.697 0.000 0.000
Pb 2.697 2.697 2.746
Cs 0.000 0.000 2.746
! SG: P4/mmm

---

Record 5
! CsLa2ZrPb (meta-GGA SCAN, PBEsol geometry); values from VASP
&SYSTEM
  ibrav = 0, nat = 5, ntyp = 4
/
ATOMIC_SPECIES
Cs 132.91 Cs.upf
La 138.91 La.upf
Zr 91.22 Zr.upf
Pb 207.20 Pb.upf
CELL_PARAMETERS angstrom
-2.636 -4.401 2.411
3.159 -3.571 -3.066
4.067 -0.086 4.290
ATOMIC_POSITIONS angstrom
Cs 0.000 0.000 0.000
La -1.318 -2.201 1.205
Zr 2.295 -4.029 1.818
La 1.580 -1.786 -1.533
Pb 2.033 -0.043 2.145
! SG: P4/mmm

---

Record 6
! CsRbLa2 (meta-GGA SCAN, PBEsol geometry); values from VASP
&SYSTEM
  ibrav = 0, nat = 4, ntyp = 3
/
ATOMIC_SPECIES
La 138.91 La.upf
Cs 132.91 Cs.upf
Rb 85.47 Rb.upf
CELL_PARAMETERS angstrom
6.357 0.000 0.000
3.179 5.506 0.000
3.179 1.835 5.191
ATOMIC_POSITIONS angstrom
La 9.536 5.506 3.893
Cs 6.357 3.670 2.595
Rb 0.000 0.000 0.000
La 3.179 1.835 1.298
! SG: Fm-3m

---

Record 7
! CsLa3Rh (meta-GGA SCAN, PBEsol geometry); values from VASP
&SYSTEM
  ibrav = 0, nat = 5, ntyp = 3
/
ATOMIC_SPECIES
La 138.91 La.upf
Cs 132.91 Cs.upf
Rh 102.91 Rh.upf
CELL_PARAMETERS angstrom
-2.084 -4.305 3.167
4.752 0.063 3.212
-2.445 3.791 3.543
ATOMIC_POSITIONS angstrom
La -1.223 1.895 1.772
La -1.042 -2.152 1.584
Cs 0.112 -0.225 4.961
La 2.376 0.032 1.606
Rh 0.000 0.000 0.000
! SG: Pm-3m

---

Record 8
! CsLaRu3 (meta-GGA SCAN, PBEsol geometry); values from VASP
&SYSTEM
  ibrav = 0, nat = 5, ntyp = 3
/
ATOMIC_SPECIES
Ru 101.07 Ru.upf
Cs 132.91 Cs.upf
La 138.91 La.upf
CELL_PARAMETERS angstrom
-3.580 -1.896 -2.682
3.140 -3.142 -1.969
-0.966 -3.184 3.540
ATOMIC_POSITIONS angstrom
Ru -0.483 -1.592 1.770
Cs 0.000 0.000 0.000
La -0.703 -4.111 -0.555
Ru -1.790 -0.948 -1.341
Ru 1.570 -1.571 -0.984
! E above lowest polymorph (eV/atom): 0.290
! SG: Pm-3m

---

no.,energy of formation from the pure elements (meV per atom),DOS(E_F) (states/eV per atom)
1,1252,1.438
2,424,0.246
3,195,0.856
4,224,0.889
5,1373,1.197
6,832,1.568
7,-99,1.066
8,2066,1.037